PBE CsRbSeBr2, relaxed; uncorrected formation energy = -0.737 eV/atom; DOS(E_F) = 7.0 states/eV/f.u.
1.0
-0.837 -5.814 -2.847
4.054 1.768 -4.801
4.880 -2.305 3.273
Cs Se Br Rb
1 1 2 1
direct
0.500 0.500 0.500
0.000 0.000 0.500
0.000 0.500 0.000
0.500 0.000 0.000
0.000 0.000 0.000